1.
Here is an optimized crystal structure of BeHg from Alexandria via LeMat-Bulk. Energies are from PBE.

a = 9.2173 Å, b = 9.2173 Å, c = 4.1445 Å
α = 90.00°, β = 90.00°, γ = 90.00°
With the nearest neighbours (Å) after each atom.
Fractional coordinates of all 16 atoms:
1 Be 0.2902 0.2014 0.5000  2 Be 2.38, 4 Hg 2.39-2.48
2 Be 0.2098 0.2986 0.0000  2 Be 2.38, 4 Hg 2.39-2.48
3 Be 0.7098 0.7986 0.5000  2 Be 2.38, 4 Hg 2.39-2.48
4 Be 0.2014 0.7098 0.5000  2 Be 2.38, 4 Hg 2.39-2.48
5 Be 0.7014 0.2098 0.0000  2 Be 2.38, 4 Hg 2.39-2.48
6 Be 0.7986 0.2902 0.5000  2 Be 2.38, 4 Hg 2.39-2.48
7 Be 0.2986 0.7902 0.0000  2 Be 2.38, 4 Hg 2.39-2.48
8 Be 0.7902 0.7014 0.0000  2 Be 2.38, 4 Hg 2.39-2.48
9 Hg 0.1726 0.5639 0.0000  4 Be 2.39-2.48
10 Hg 0.9361 0.6726 0.5000  4 Be 2.39-2.48
11 Hg 0.0639 0.3274 0.5000  4 Be 2.39-2.48
12 Hg 0.6726 0.0639 0.5000  4 Be 2.39-2.48
13 Hg 0.3274 0.9361 0.5000  4 Be 2.39-2.48
14 Hg 0.4361 0.1726 0.0000  4 Be 2.39-2.48
15 Hg 0.5639 0.8274 0.0000  4 Be 2.39-2.48
16 Hg 0.8274 0.4361 0.0000  4 Be 2.39-2.48

Summary:
energy above the lowest structure with this stoichiometry	211	meV/atom
ΔE_f	49	kJ per mole of atoms
total moment	0.00	μB per formula unit

---

2.
Here is an optimized crystal structure of K2InRh from Alexandria via LeMat-Bulk. Energies are from PBE.

a = 4.2332 Å, b = 4.2332 Å, c = 12.2437 Å
α = 80.05°, β = 80.05°, γ = 90.00°
With the nearest neighbours (Å) after each atom.
Fractional coordinates of all 8 atoms:
1 K 0.8750 0.8649 0.7500  4 K 2.93-3.05
2 K 0.3750 0.3851 0.7500  4 K 2.93-3.05
3 K 0.6149 0.1250 0.2500  4 K 2.93-3.05
4 K 0.1351 0.6250 0.2500  4 K 2.93-3.05
5 Rh 0.5000 0.5000 0.0000  4 In 2.99, 4 K 3.31
6 Rh 0.2500 0.7500 0.5000  4 In 2.99, 4 K 3.31
7 In 0.7500 0.2500 0.5000  4 Rh 2.99, 4 K 3.34
8 In 0.0000 0.0000 0.0000  4 Rh 2.99, 4 K 3.34

Summary:
ΔE_f	49	kJ per mole of atoms
total moment	0.00	μB per formula unit

---

3.
Here is an optimized crystal structure of LiPmScIn from Alexandria via LeMat-Bulk. Energies are from PBE.

a = 5.1982 Å, b = 5.1982 Å, c = 5.1982 Å
α = 60.00°, β = 60.00°, γ = 60.00°
With the nearest neighbours (Å) after each atom.
Fractional coordinates of all 4 atoms:
1 In 0.5000 0.5000 0.5000  4 Pm 3.18, 4 Sc 3.18
2 Pm 0.7500 0.7500 0.7500  4 In 3.18, 4 Li 3.18
3 Li 0.0000 0.0000 0.0000  4 Sc 3.18, 4 Pm 3.18
4 Sc 0.2500 0.2500 0.2500  4 In 3.18, 4 Li 3.18

Summary:
ΔE_f	-24	kJ per mole of atoms
total moment	0.00	μB per formula unit

---

4.
Here is an optimized crystal structure of Sc2SnBi from Alexandria via LeMat-Bulk. Energies are from PBE.

a = 10.9317 Å, b = 10.9317 Å, c = 10.9317 Å
α = 17.87°, β = 17.87°, γ = 17.87°
With the nearest neighbours (Å) after each atom.
Fractional coordinates of all 4 atoms:
1 Sn 0.5000 0.5000 0.5000  6 Sc 3.10, 6 Sn 3.40
2 Sc 0.9079 0.9079 0.9079  1 Bi 2.97, 3 Sn 3.10
3 Sc 0.0921 0.0921 0.0921  1 Bi 2.97, 3 Sn 3.10
4 Bi 0.0000 0.0000 0.0000  2 Sc 2.97

Summary:
energy above the lowest structure with this stoichiometry	419	meV/atom
ΔE_f	-11	kJ per mole of atoms
total moment	0.15	μB per formula unit

---

5.
Here is an optimized crystal structure of Li4Pa3CoSe8 from Alexandria via LeMat-Bulk. Energies are from PBE.

a = 7.8214 Å, b = 8.0485 Å, c = 7.8225 Å
α = 119.10°, β = 120.00°, γ = 90.00°
With the nearest neighbours (Å) after each atom.
Fractional coordinates of all 16 atoms:
1 Se 0.2414 0.7505 0.0091  1 Co 2.71, 3 Li 2.76-2.90, 2 Pa 2.86
2 Se 0.7586 0.2495 0.9909  1 Co 2.71, 3 Li 2.76-2.90, 2 Pa 2.86
3 Se 0.7570 0.7709 0.5140  3 Li 2.72-2.73, 3 Pa 2.89
4 Se 0.2430 0.2291 0.4860  3 Li 2.72-2.73, 3 Pa 2.89
5 Se 0.2416 0.7506 0.4832  1 Co 2.71, 3 Li 2.76-2.90, 2 Pa 2.86
6 Se 0.7677 0.7505 0.0091  1 Co 2.71, 3 Li 2.76-2.90, 2 Pa 2.86
7 Se 0.7584 0.2494 0.5168  1 Co 2.71, 3 Li 2.76-2.90, 2 Pa 2.86
8 Se 0.2323 0.2495 0.9909  1 Co 2.71, 3 Li 2.76-2.90, 2 Pa 2.86
9 Co 0.0000 0.5000 0.0000  6 Se 2.71
10 Pa 0.5000 0.5000 0.5000  6 Se 2.86-2.89
11 Pa 0.0000 0.5000 0.5000  6 Se 2.86-2.89
12 Pa 0.5000 0.5000 0.0000  6 Se 2.86-2.89
13 Li 0.5000 0.0000 0.0000  6 Se 2.90
14 Li 0.0000 0.0000 0.0000  6 Se 2.72-2.76
15 Li 0.0000 0.0000 0.5000  6 Se 2.73-2.76
16 Li 0.5000 0.0000 0.5000  6 Se 2.73-2.76

Summary:
E_form (uncorrected)	-1.12	eV/atom
total moment	6.03	μB per formula unit

---

6.
Here is an optimized crystal structure of Ag3TeCl8 from Alexandria via LeMat-Bulk. Energies are from PBE.

a = 6.9639 Å, b = 6.9639 Å, c = 7.8193 Å
α = 90.00°, β = 90.00°, γ = 117.16°
With the nearest neighbours (Å) after each atom.
Fractional coordinates of all 12 atoms:
1 Ag 0.5000 0.5000 0.0000  6 Cl 2.55-2.82
2 Ag 0.5000 0.0000 0.7680  6 Cl 2.60-2.87
3 Ag 0.0000 0.5000 0.2320  6 Cl 2.60-2.87
4 Cl 0.7444 0.7645 0.7276  1 Te 2.57, 2 Ag 2.82-2.87
5 Cl 0.2858 0.7142 0.0000  3 Ag 2.55-2.60
6 Cl 0.7185 0.2815 0.5000  1 Te 2.60, 2 Ag 2.80
7 Cl 0.7645 0.7444 0.2724  1 Te 2.57, 2 Ag 2.82-2.87
8 Cl 0.2355 0.2556 0.2724  1 Te 2.57, 2 Ag 2.82-2.87
9 Cl 0.2556 0.2355 0.7276  1 Te 2.57, 2 Ag 2.82-2.87
10 Cl 0.2815 0.7185 0.5000  1 Te 2.60, 2 Ag 2.80
11 Cl 0.7142 0.2858 0.0000  3 Ag 2.55-2.60
12 Te 0.5000 0.5000 0.5000  6 Cl 2.57-2.60

Summary:
E_form (uncorrected)	-0.46	eV/atom
total moment	0.37	μB per formula unit

---

7.
Here is an optimized crystal structure of Li2CaIn from Alexandria via LeMat-Bulk. Energies are from PBE.

a = 4.1992 Å, b = 5.0397 Å, c = 4.7502 Å
α = 90.00°, β = 90.00°, γ = 90.00°
With the nearest neighbours (Å) after each atom.
Fractional coordinates of all 4 atoms:
1 Ca 0.5000 0.0000 0.5000  8 Li 3.17-3.46, 4 In 3.28
2 Li 0.0000 0.0000 0.0000  4 Ca 3.17, 4 Li 3.28, 4 In 3.46
3 Li 0.5000 0.5000 0.0000  4 In 3.17, 4 Li 3.28, 4 Ca 3.46
4 In 0.0000 0.5000 0.5000  8 Li 3.17-3.46, 4 Ca 3.28

Summary:
ΔE_f	-16	kJ per mole of atoms
total moment	0.00	μB per formula unit

---

8.
Here is an optimized crystal structure of Sm2CuNi4Sn3 from Alexandria via LeMat-Bulk. Energies are from PBE.

a = 4.3645 Å, b = 4.3645 Å, c = 9.9634 Å
α = 90.00°, β = 90.00°, γ = 90.00°
With the nearest neighbours (Å) after each atom.
Fractional coordinates of all 10 atoms:
1 Ni 0.0000 0.5000 0.3783  3 Sn 2.48-2.50, 2 Cu 2.50
2 Ni 0.5000 0.5000 0.0000  4 Sn 2.54
3 Ni 0.5000 0.0000 0.6217  3 Sn 2.48-2.50, 2 Cu 2.50
4 Ni 0.0000 0.0000 0.0000  4 Sn 2.54
5 Sn 0.0000 0.0000 0.5000  4 Ni 2.50
6 Sn 0.5000 0.0000 0.8702  5 Ni 2.48-2.54
7 Sn 0.0000 0.5000 0.1298  5 Ni 2.48-2.54
8 Sm 0.0000 0.5000 0.7478  6 Sn 3.30-3.32, 2 Cu 3.30, 9 Ni 3.33-3.68
9 Sm 0.5000 0.0000 0.2522  2 Cu 3.30, 6 Sn 3.30-3.32, 9 Ni 3.33-3.68
10 Cu 0.5000 0.5000 0.5000  4 Ni 2.50

Summary:
ΔE_f	-42	kJ per mole of atoms
total moment	0.00	μB per formula unit

---

9.
Here is an optimized crystal structure of LaZnTeN2 from Alexandria via LeMat-Bulk. Energies are from PBE.

a = 4.2183 Å, b = 4.2183 Å, c = 7.0532 Å
α = 90.00°, β = 90.00°, γ = 90.00°
With the nearest neighbours (Å) after each atom.
Fractional coordinates of all 5 atoms:
1 N 0.5000 0.0000 0.0000  2 La 2.11
2 N 0.0000 0.5000 0.0000  2 La 2.11
3 La 0.0000 0.0000 0.0000  4 N 2.11
4 Te 0.0000 0.0000 0.5000  4 Zn 2.98
5 Zn 0.5000 0.5000 0.5000  4 Te 2.98

Summary:
energy above the lowest structure with this stoichiometry	62	meV/atom
E_form (uncorrected)	0.69	eV/atom
total moment	0.31	μB per formula unit

---

10.
Here is an optimized crystal structure of Li2LaCl from Alexandria via LeMat-Bulk. Energies are from PBE.

a = 3.2954 Å, b = 3.2954 Å, c = 8.6923 Å
α = 90.00°, β = 90.00°, γ = 90.00°
With the nearest neighbours (Å) after each atom.
Fractional coordinates of all 4 atoms:
1 Li 0.0000 0.0000 0.4184  4 Cl 2.75, 1 Li 2.93
2 Li 0.0000 0.0000 0.0816  4 Cl 2.75, 1 Li 2.93
3 La 0.5000 0.5000 0.7500  4 La 3.30
4 Cl 0.5000 0.5000 0.2500  8 Li 2.75

Summary:
energy above the lowest structure with this stoichiometry	82	meV/atom
E_form (uncorrected)	-0.64	eV/atom
total moment	0.00	μB per formula unit

---

11.
Here is an optimized crystal structure of Sn2BPt2 from Alexandria via LeMat-Bulk. Energies are from PBE.

a = 5.7338 Å, b = 5.7338 Å, c = 5.7653 Å
α = 90.00°, β = 90.00°, γ = 90.00°
With the nearest neighbours (Å) after each atom.
Fractional coordinates of all 10 atoms:
1 Sn 0.7002 0.2002 0.5000  2 Pt 2.89, 4 Sn 2.92
2 Sn 0.2002 0.2998 0.5000  2 Pt 2.89, 4 Sn 2.92
3 Sn 0.2998 0.7998 0.5000  2 Pt 2.89, 4 Sn 2.92
4 Sn 0.7998 0.7002 0.5000  2 Pt 2.89, 4 Sn 2.92
5 Pt 0.3288 0.8288 0.0000  2 B 2.13
6 Pt 0.1712 0.3288 0.0000  2 B 2.13
7 Pt 0.6712 0.1712 0.0000  2 B 2.13
8 Pt 0.8288 0.6712 0.0000  2 B 2.13
9 B 0.5000 0.5000 0.0000  4 Pt 2.13
10 B 0.0000 0.0000 0.0000  4 Pt 2.13

Summary:
energy above the lowest structure with this stoichiometry	0	meV/atom
ΔE_f	-9	kJ per mole of atoms
total moment	0.00	μB per formula unit

---

12.
Here is an optimized crystal structure of RbNdPb2I8 from Alexandria via LeMat-Bulk. Energies are from PBE.

a = 7.8958 Å, b = 7.4727 Å, c = 9.9017 Å
α = 89.92°, β = 89.97°, γ = 89.00°
With the nearest neighbours (Å) after each atom.
Fractional coordinates of all 12 atoms:
1 I 0.1567 0.7471 0.7805  1 Nd 3.12, 1 Pb 3.27
2 I 0.1559 0.7464 0.2198  1 Nd 3.12, 1 Pb 3.27
3 I 0.3746 0.2672 0.5003  2 Pb 3.18
4 I 0.6694 0.7597 0.9998  1 Nd 3.19, 2 Pb 3.44
5 I 0.3306 0.2403 0.0002  1 Nd 3.19, 2 Pb 3.44
6 I 0.8433 0.2529 0.2195  1 Nd 3.12, 1 Pb 3.27
7 I 0.6254 0.7328 0.4997  2 Pb 3.18
8 I 0.8441 0.2536 0.7802  1 Nd 3.12, 1 Pb 3.27
9 Pb 0.4999 0.5001 0.2516  6 I 3.18-3.44
10 Pb 0.5001 0.4999 0.7484  6 I 3.18-3.44
11 Nd 0.0000 0.0000 0.0000  6 I 3.12-3.19
12 Rb 0.0000 0.0000 0.5000  6 I 3.57-3.60

Summary:
E_form (uncorrected)	-1.00	eV/atom
total moment	0.00	μB per formula unit

---

13.
Here is an optimized crystal structure of SiAs2HSe from Alexandria via LeMat-Bulk. Energies are from PBE.

a = 3.8993 Å, b = 3.8993 Å, c = 5.5787 Å
α = 90.00°, β = 90.00°, γ = 90.00°
With the nearest neighbours (Å) after each atom.
Fractional coordinates of all 5 atoms:
1 As 0.5000 0.0000 0.0000  2 H 1.95
2 As 0.0000 0.5000 0.0000  2 H 1.95
3 Se 0.0000 0.0000 0.5000  4 Si 2.76, 2 H 2.79
4 Si 0.5000 0.5000 0.5000  4 Se 2.76
5 H 0.0000 0.0000 0.0000  4 As 1.95

Summary:
energy above the lowest structure with this stoichiometry	0	meV/atom
total moment	0.00	μB per formula unit

---

14.
Here is an optimized crystal structure of AgSbS4 from Alexandria via LeMat-Bulk. Energies are from PBE.

a = 3.5736 Å, b = 6.9485 Å, c = 6.8313 Å
α = 68.81°, β = 90.00°, γ = 90.00°
With the nearest neighbours (Å) after each atom.
Fractional coordinates of all 6 atoms:
1 Sb 0.0000 0.0000 0.0000  6 S 2.52-2.59
2 S 0.5000 0.7459 0.1890  2 Sb 2.52
3 S 0.0000 0.8163 0.7310  2 Ag 2.42, 1 Sb 2.59
4 S 0.0000 0.1837 0.2690  2 Ag 2.42, 1 Sb 2.59
5 S 0.5000 0.2541 0.8110  2 Sb 2.52
6 Ag 0.5000 0.0000 0.5000  4 S 2.42

Summary:
energy above the lowest structure with this stoichiometry	44	meV/atom
E_form (uncorrected)	0.09	eV/atom
total moment	0.00	μB per formula unit

---

15.
Here is an optimized crystal structure of LiAg2PtCl6 from Alexandria via LeMat-Bulk. Energies are from PBE.

a = 7.0307 Å, b = 6.8100 Å, c = 7.3636 Å
α = 54.61°, β = 67.96°, γ = 57.27°
With the nearest neighbours (Å) after each atom.
Fractional coordinates of all 10 atoms:
1 Ag 0.6678 0.4936 0.2866  3 Cl 2.54-2.56
2 Ag 0.9959 0.0380 0.9719  6 Cl 2.63-2.93
3 Cl 0.6425 0.1412 0.2736  1 Li 2.45, 2 Ag 2.56-2.72
4 Cl 0.3039 0.9203 0.2288  1 Pt 2.34, 1 Ag 2.55
5 Cl 0.6346 0.1680 0.7731  1 Pt 2.37, 1 Li 2.52
6 Cl 0.0297 0.4897 0.7623  1 Li 2.37, 1 Ag 2.63, 1 Pt 2.65
7 Cl 0.0464 0.4871 0.2461  1 Pt 2.34, 1 Ag 2.54
8 Cl 0.3442 0.7457 0.7880  1 Pt 2.36, 1 Li 2.44
9 Pt 0.3308 0.3279 0.0074  4 Cl 2.34-2.37
10 Li 0.6657 0.8501 0.6776  4 Cl 2.37-2.52

Summary:
E_form (uncorrected)	-0.65	eV/atom
total moment	1.01	μB per formula unit

---

16.
Here is an optimized crystal structure of K2La2Rh from Alexandria via LeMat-Bulk. Energies are from PBE.

a = 7.5231 Å, b = 7.5231 Å, c = 7.3666 Å
α = 90.00°, β = 90.00°, γ = 90.00°
With the nearest neighbours (Å) after each atom.
Fractional coordinates of all 10 atoms:
1 K 0.1907 0.6907 0.5000  5 K 3.87-4.06, 2 La 3.91
2 K 0.3093 0.1907 0.5000  5 K 3.87-4.06, 2 La 3.91
3 K 0.8093 0.3093 0.5000  5 K 3.87-4.06, 2 La 3.91
4 K 0.6907 0.8093 0.5000  5 K 3.87-4.06, 2 La 3.91
5 La 0.6864 0.1864 0.0000  2 Rh 2.74
6 La 0.1864 0.3136 0.0000  2 Rh 2.74
7 La 0.8136 0.6864 0.0000  2 Rh 2.74
8 La 0.3136 0.8136 0.0000  2 Rh 2.74
9 Rh 0.0000 0.0000 0.0000  4 La 2.74
10 Rh 0.5000 0.5000 0.0000  4 La 2.74

Summary:
energy above the lowest structure with this stoichiometry	0	meV/atom
ΔE_f	0	kJ per mole of atoms
total moment	0.00	μB per formula unit

---

17.
Here is an optimized crystal structure of CeEu2Ga from Alexandria via LeMat-Bulk. Energies are from PBE.

a = 4.9565 Å, b = 4.8224 Å, c = 4.8224 Å
α = 90.00°, β = 90.00°, γ = 90.00°
With the nearest neighbours (Å) after each atom.
Fractional coordinates of all 4 atoms:
1 Eu 0.0000 0.5000 0.0000  4 Eu 3.41, 4 Ce 3.46, 4 Ga 3.46
2 Eu 0.0000 0.0000 0.5000  4 Eu 3.41, 4 Ce 3.46, 4 Ga 3.46
3 Ga 0.5000 0.0000 0.0000  4 Ce 3.41, 8 Eu 3.46
4 Ce 0.5000 0.5000 0.5000  4 Ga 3.41, 8 Eu 3.46

Summary:
energy above the lowest structure with this stoichiometry	6	meV/atom
ΔE_f	-9	kJ per mole of atoms
total moment	15.54	μB per formula unit

---

18.
Here is an optimized crystal structure of Na2NiRh from Alexandria via LeMat-Bulk. Energies are from PBE.

a = 4.6159 Å, b = 4.6159 Å, c = 4.6159 Å
α = 60.00°, β = 60.00°, γ = 60.00°
With the nearest neighbours (Å) after each atom.
Fractional coordinates of all 4 atoms:
1 Na 0.2500 0.2500 0.2500  4 Rh 2.83, 4 Ni 2.83
2 Na 0.7500 0.7500 0.7500  4 Ni 2.83, 4 Rh 2.83
3 Ni 0.0000 0.0000 0.0000  8 Na 2.83
4 Rh 0.5000 0.5000 0.5000  8 Na 2.83

Summary:
energy above the lowest structure with this stoichiometry	24	meV/atom
ΔE_f	72	kJ per mole of atoms
total moment	0.86	μB per formula unit

---

19.
Here is an optimized crystal structure of ReHg2BBr from Alexandria via LeMat-Bulk. Energies are from PBE.

a = 4.4697 Å, b = 5.5781 Å, c = 4.4697 Å
α = 90.00°, β = 90.00°, γ = 90.00°
With the nearest neighbours (Å) after each atom.
Fractional coordinates of all 5 atoms:
1 Hg 0.0000 0.0000 0.5000  2 B 2.23
2 Hg 0.5000 0.0000 0.0000  2 B 2.23
3 B 0.0000 0.0000 0.0000  4 Hg 2.23
4 Br 0.0000 0.5000 0.0000  2 B 2.79
5 Re 0.5000 0.5000 0.5000  4 Br 3.16

Summary:
E_form (uncorrected)	1.55	eV/atom
total moment	4.53	μB per formula unit

---

20.
Here is an optimized crystal structure of Sm6PRh2Br3 from Alexandria via LeMat-Bulk. Energies are from PBE.

a = 7.1592 Å, b = 7.1592 Å, c = 7.9307 Å
α = 98.55°, β = 98.55°, γ = 119.99°
With the nearest neighbours (Å) after each atom.
Fractional coordinates of all 12 atoms:
1 Rh 0.6671 0.3329 0.0000  6 Sm 2.78-2.79
2 Rh 0.3329 0.6671 0.0000  6 Sm 2.78-2.79
3 Br 0.5000 0.5000 0.5000  6 Sm 3.26-3.34
4 Br 0.1616 0.8384 0.5000  6 Sm 3.30-3.33
5 Br 0.8384 0.1616 0.5000  6 Sm 3.30-3.33
6 Sm 0.0653 0.4072 0.1967  2 Rh 2.78-2.79, 1 P 2.87
7 Sm 0.9347 0.5928 0.8033  2 Rh 2.78-2.79, 1 P 2.87
8 Sm 0.5928 0.9347 0.8033  2 Rh 2.78-2.79, 1 P 2.87
9 Sm 0.7227 0.7227 0.1964  2 Rh 2.79, 1 P 2.86
10 Sm 0.4072 0.0653 0.1967  2 Rh 2.78-2.79, 1 P 2.87
11 Sm 0.2773 0.2773 0.8036  2 Rh 2.79, 1 P 2.86
12 P 0.0000 0.0000 0.0000  6 Sm 2.86-2.87

Summary:
E_form (uncorrected)	-1.16	eV/atom
total moment	0.00	μB per formula unit